Computed, not measured: crystalline Sr2NiOsO8 at its relaxed geometry at the PBE with a Hubbard U level of DFT.

Unit cell a=4.9212 b=4.8430 c=7.0974 alpha=91.34 beta=86.90 gamma=93.21
Last column: nearest neighbours and their distance in Å.
Fractional coordinates of all 12 atoms:
1 Ni 0.0000 0.0000 0.5000  4 O 1.94-2.06
2 O 0.6676 0.8091 0.0337  1 Os 1.84
3 Os 0.0000 0.0000 0.0000  6 O 1.84-1.96
4 O 0.8999 0.1262 0.7545  1 Ni 1.94, 1 Os 1.96
5 O 0.1001 0.8738 0.2455  1 Ni 1.94, 1 Os 1.96
6 O 0.5940 0.8879 0.4744  1 O 1.49
7 O 0.1364 0.6977 0.8718  1 Os 1.85
8 Sr 0.5947 0.5137 0.7571  5 O 2.43-2.68
9 O 0.8636 0.3023 0.1282  1 Os 1.85
10 O 0.4060 0.1121 0.5256  1 O 1.49
11 Sr 0.4053 0.4863 0.2429  5 O 2.43-2.68
12 O 0.3324 0.1909 0.9663  1 Os 1.84

Properties
The calculated total energy is -6.12 eV/atom. As for the space group: P-1 (2). Its total magnetization is 2.04 μB/cell.